Compound: AgHgBr2
Source: Alexandria
Functional: PBE-GGA
Structure: optimized geometry

The structure belongs to space group R-3m (No. 166, hexagonal axes); the cell edges are 3.5154, 3.5154 and 33.3051 Å and the angles 90.00°, 90.00° and 120.00°. Symmetry generates all atoms from Ag at (0.0000, 0.0000, 0.0000), Hg at (0.0000, 0.0000, 0.5000) and Br at (0.0000, 0.0000, 0.0741).

The density of states at the Fermi level is 11.587 states/eV per cell. For the magnetization, the calculation gives 0.00 Bohr magnetons per cell. For the energy above the most stable polymorph in this dataset, the calculation gives 260.4 meV/atom. The uncorrected formation energy is 34 meV per atom.


Compound: Ag2HgBr
Source: Alexandria
Functional: PBE-GGA
Structure: optimized geometry

The structure belongs to space group P2/m (No. 10); the cell edges are 3.802, 3.799 and 6.877 Å and the angles 90.00°, 90.21° and 90.00°. Symmetry generates all atoms from Ag at (0.002, 0.000, 0.199), Hg at (0.500, 0.500, 0.000) and Br at (0.000, 0.500, 0.500).

The density of states at the Fermi level is 0.725 states/eV per cell. For the magnetization, the calculation gives 0.00 Bohr magnetons per cell. For the energy above the most stable polymorph in this dataset, the calculation gives 17.4 meV/atom. The uncorrected formation energy is -57 meV per atom.